Material: Mn2BrO2
Method: DFT, PBE with a Hubbard U
State: relaxed

abc: 12.4386 3.6332 3.9526
angles: 90.00 108.34 90.00
With the nearest neighbours (Å) after each atom.
Space group C2/m (No. 12)
Asymmetric unit:
Mn  0.1853  0.0000  0.1858 [4 per cell]  4 O 2.02-2.13
Br  0.0000  0.5000  0.0000 [2 per cell]  4 Mn 2.84
O  0.2202  0.0000  0.7205 [4 per cell]  4 Mn 2.02-2.13

E   -66.86 eV for the cell shown